The following is a DFT calculation (GGA-PBE) of a relaxed structure of Al2PdCS.

Calculated values
Energy relative to the elements, uncorrected in eV/atom: 1.4040

```
data_Al2PdCS
_chemical_formula_sum 'Al2 Pd1 C1 S1'
_space_group_name_H-M_alt 'P 4/m m m'
_space_group_IT_number 123
_space_group_name_Hall '-P 4 2'
_cell_length_a 4.793
_cell_length_b 4.793
_cell_length_c 4.664
_cell_angle_alpha 90.00
_cell_angle_beta 90.00
_cell_angle_gamma 90.00
loop_
_atom_site_label
_atom_site_type_symbol
_atom_site_fract_x
_atom_site_fract_y
_atom_site_fract_z
_atom_site_occupancy
Al1 Al 0.000 0.500 0.000 1
Pd1 Pd 0.000 0.000 0.000 1
C1 C 0.500 0.500 0.500 1
S1 S 0.000 0.000 0.500 1
```



The following is a DFT calculation (GGA-PBE) of a relaxed structure of AlSnPd2C.

Calculated values
Calculated formation energy in eV/atom: 1.912

```
data_AlSnPd2C
_chemical_formula_sum 'Al1 Sn1 Pd2 C1'
_space_group_name_H-M_alt 'P 4/m m m'
_space_group_IT_number 123
_space_group_name_Hall '-P 4 2'
_cell_length_a 4.994
_cell_length_b 4.994
_cell_length_c 5.089
_cell_angle_alpha 90.00
_cell_angle_beta 90.00
_cell_angle_gamma 90.00
loop_
_atom_site_label
_atom_site_type_symbol
_atom_site_fract_x
_atom_site_fract_y
_atom_site_fract_z
_atom_site_occupancy
Al1 Al 0.000 0.000 0.000 1
Sn1 Sn 0.000 0.000 0.500 1
Pd1 Pd 0.000 0.500 0.500 1
C1 C 0.500 0.500 0.000 1
```



The following is a DFT calculation (GGA-PBE) of a relaxed structure of AlSnPdC2.

Calculated values
Calculated formation energy in eV/atom: 1.596

```
data_AlSnPdC2
_chemical_formula_sum 'Al1 Sn1 Pd1 C2'
_space_group_name_H-M_alt 'P 4/m m m'
_space_group_IT_number 123
_space_group_name_Hall '-P 4 2'
_cell_length_a 3.869
_cell_length_b 3.869
_cell_length_c 5.813
_cell_angle_alpha 90.00
_cell_angle_beta 90.00
_cell_angle_gamma 90.00
loop_
_atom_site_label
_atom_site_type_symbol
_atom_site_fract_x
_atom_site_fract_y
_atom_site_fract_z
_atom_site_occupancy
Al1 Al 0.000 0.000 0.000 1
Sn1 Sn 0.000 0.000 0.500 1
Pd1 Pd 0.500 0.500 0.500 1
C1 C 0.000 0.500 0.000 1
```



The following is a DFT calculation (GGA-PBE) of a relaxed structure of ThAlPdC.

Calculated values
Calculated formation energy in eV/atom: -0.561

```
data_ThAlPdC
_chemical_formula_sum 'Th2 Al2 Pd2 C2'
_space_group_name_H-M_alt 'P 4/n m m'
_space_group_IT_number 129
_cell_length_a 3.931
_cell_length_b 3.931
_cell_length_c 9.210
_cell_angle_alpha 90.00
_cell_angle_beta 90.00
_cell_angle_gamma 90.00
loop_
_space_group_symop_operation_xyz
'x,y,z'
'-x,-y,-z'
'-y+1/2,x,z'
'y+1/2,-x,-z'
'-x+1/2,-y+1/2,z'
'x+1/2,y+1/2,-z'
'y,-x+1/2,z'
'-y,x+1/2,-z'
'x+1/2,-y,-z'
'-x+1/2,y,z'
'-y,-x,-z'
'y,x,z'
'-x,y+1/2,-z'
'x,-y+1/2,z'
'y+1/2,x+1/2,-z'
'-y+1/2,-x+1/2,z'
loop_
_atom_site_label
_atom_site_type_symbol
_atom_site_fract_x
_atom_site_fract_y
_atom_site_fract_z
_atom_site_occupancy
Th1 Th 0.250 0.250 0.141 1
Al1 Al 0.250 0.250 0.666 1
Pd1 Pd 0.250 0.750 0.500 1
C1 C 0.250 0.250 0.881 1
```



The following is a DFT calculation (GGA-PBE) of a relaxed structure of AlVPd2C.

Calculated values
Calculated formation energy in eV/atom: 0.970

```
data_AlVPd2C
_chemical_formula_sum 'Al1 V1 Pd2 C1'
_space_group_name_H-M_alt 'P 4/m m m'
_space_group_IT_number 123
_space_group_name_Hall '-P 4 2'
_cell_length_a 4.787
_cell_length_b 4.787
_cell_length_c 3.706
_cell_angle_alpha 90.00
_cell_angle_beta 90.00
_cell_angle_gamma 90.00
loop_
_atom_site_label
_atom_site_type_symbol
_atom_site_fract_x
_atom_site_fract_y
_atom_site_fract_z
_atom_site_occupancy
Al1 Al 0.000 0.000 0.000 1
V1 V 0.500 0.500 0.500 1
Pd1 Pd 0.000 0.500 0.500 1
C1 C 0.500 0.500 0.000 1
```



The following is a DFT calculation (GGA-PBE) of a relaxed structure of Y2AlPdC.

Calculated values
Calculated formation energy in eV/atom: -0.489

```
data_Y2AlPdC
_chemical_formula_sum 'Y2 Al1 Pd1 C1'
_space_group_name_H-M_alt 'P 4/m m m'
_space_group_IT_number 123
_space_group_name_Hall '-P 4 2'
_cell_length_a 4.946
_cell_length_b 4.946
_cell_length_c 3.906
_cell_angle_alpha 90.00
_cell_angle_beta 90.00
_cell_angle_gamma 90.00
loop_
_atom_site_label
_atom_site_type_symbol
_atom_site_fract_x
_atom_site_fract_y
_atom_site_fract_z
_atom_site_occupancy
Y1 Y 0.000 0.500 0.000 1
Al1 Al 0.000 0.000 0.500 1
Pd1 Pd 0.500 0.500 0.500 1
C1 C 0.000 0.000 0.000 1
```



The following is a DFT calculation (GGA-PBE) of a relaxed structure of Al2ZnPdC.

Calculated values
Calculated formation energy in eV/atom: 0.104

```
data_Al2ZnPdC
_chemical_formula_sum 'Al2 Zn1 Pd1 C1'
_space_group_name_H-M_alt 'P 4/m m m'
_space_group_IT_number 123
_space_group_name_Hall '-P 4 2'
_cell_length_a 3.970
_cell_length_b 3.970
_cell_length_c 4.259
_cell_angle_alpha 90.00
_cell_angle_beta 90.00
_cell_angle_gamma 90.00
loop_
_atom_site_label
_atom_site_type_symbol
_atom_site_fract_x
_atom_site_fract_y
_atom_site_fract_z
_atom_site_occupancy
Al1 Al 0.000 0.500 0.000 1
Zn1 Zn 0.000 0.000 0.500 1
Pd1 Pd 0.500 0.500 0.500 1
C1 C 0.000 0.000 0.000 1
```



The following is a DFT calculation (GGA-PBE) of a relaxed structure of Pm3AlC3.

Calculated values
Calculated formation energy in eV/atom: -0.141

```
data_Pm3AlC3
_chemical_formula_sum 'Pm6 Al2 C6'
_space_group_name_H-M_alt 'P 63/m'
_space_group_IT_number 176
_space_group_name_Hall '-P 6c'
_cell_length_a 7.5519
_cell_length_b 7.5519
_cell_length_c 5.3403
_cell_angle_alpha 90.00
_cell_angle_beta 90.00
_cell_angle_gamma 120.00
loop_
_atom_site_label
_atom_site_type_symbol
_atom_site_fract_x
_atom_site_fract_y
_atom_site_fract_z
_atom_site_occupancy
Pm1 Pm 0.0656 0.3582 0.2500 1
Al1 Al 0.3333 0.6667 0.7500 1
C1 C 0.0837 0.3881 0.7500 1
```



The following is a DFT calculation (GGA-PBE) of a relaxed structure of Pm5AlC3.

Calculated values
Calculated formation energy in eV/atom: 0.013

```
data_Pm5AlC3
_chemical_formula_sum 'Pm20 Al4 C12'
_space_group_name_H-M_alt 'C 1 2/m 1'
_space_group_IT_number 12
_cell_length_a 11.487
_cell_length_b 9.039
_cell_length_c 8.153
_cell_angle_alpha 90.00
_cell_angle_beta 112.39
_cell_angle_gamma 90.00
loop_
_space_group_symop_operation_xyz
'x,y,z'
'-x,-y,-z'
'-x,y,-z'
'x,-y,z'
'x+1/2,y+1/2,z'
'-x+1/2,-y+1/2,-z'
'-x+1/2,y+1/2,-z'
'x+1/2,-y+1/2,z'
loop_
_atom_site_label
_atom_site_type_symbol
_atom_site_fract_x
_atom_site_fract_y
_atom_site_fract_z
_atom_site_occupancy
Pm1 Pm 0.000 0.204 0.000 1
Pm2 Pm 0.061 0.000 0.361 1
Pm3 Pm 0.175 0.315 0.636 1
Pm4 Pm 0.230 0.500 0.069 1
Al1 Al 0.055 0.500 0.278 1
C1 C 0.000 0.500 0.000 1
C2 C 0.000 0.500 0.500 1
C3 C 0.161 0.000 0.150 1
C4 C 0.247 0.500 0.398 1
```



The following is a DFT calculation (GGA-PBE) of a relaxed structure of Pm12Al5C3.

Calculated values
Calculated formation energy in eV/atom: 0.585

```
data_Pm12Al5C3
_chemical_formula_sum 'Pm96 Al40 C24'
_space_group_name_H-M_alt 'I a -3 d'
_space_group_IT_number 230
_space_group_name_Hall '-I 4bd 2c 3'
_cell_length_a 16.790
_cell_length_b 16.790
_cell_length_c 16.790
_cell_angle_alpha 90.00
_cell_angle_beta 90.00
_cell_angle_gamma 90.00
loop_
_atom_site_label
_atom_site_type_symbol
_atom_site_fract_x
_atom_site_fract_y
_atom_site_fract_z
_atom_site_occupancy
Pm1 Pm 0.019 0.098 0.645 1
Al1 Al 0.000 0.000 0.000 1
Al2 Al 0.000 0.250 0.375 1
C1 C 0.000 0.250 0.125 1
```



The following is a DFT calculation (GGA-PBE) of a relaxed structure of Pm2AlC.

Calculated values
Calculated formation energy in eV/atom: -0.158
Energy above the lowest structure with this stoichiometry in meV per atom: 0

```
data_Pm2AlC
_chemical_formula_sum 'Pm4 Al2 C2'
_space_group_name_H-M_alt 'I m m m'
_space_group_IT_number 71
_space_group_name_Hall '-I 2 2'
_cell_length_a 3.629
_cell_length_b 4.015
_cell_length_c 13.103
_cell_angle_alpha 90.00
_cell_angle_beta 90.00
_cell_angle_gamma 90.00
loop_
_atom_site_label
_atom_site_type_symbol
_atom_site_fract_x
_atom_site_fract_y
_atom_site_fract_z
_atom_site_occupancy
Pm1 Pm 0.000 0.000 0.132 1
Al1 Al 0.000 0.000 0.500 1
C1 C 0.000 0.500 0.500 1
```



The following is a DFT calculation (GGA-PBE) of a relaxed structure of Pm2AlC.

Calculated values
Calculated formation energy in eV/atom: -0.083
Energy above the lowest structure with this stoichiometry in meV per atom: 75

```
data_Pm2AlC
_chemical_formula_sum 'Pm6 Al3 C3'
_space_group_name_H-M_alt 'R -3 m'
_space_group_IT_number 166
_space_group_name_Hall '-R 3 2"'
_cell_length_a 3.6752
_cell_length_b 3.6752
_cell_length_c 24.2336
_cell_angle_alpha 90.00
_cell_angle_beta 90.00
_cell_angle_gamma 120.00
loop_
_atom_site_label
_atom_site_type_symbol
_atom_site_fract_x
_atom_site_fract_y
_atom_site_fract_z
_atom_site_occupancy
Pm1 Pm 0.0000 0.0000 0.2257 1
Al1 Al 0.0000 0.0000 0.0000 1
C1 C 0.0000 0.0000 0.5000 1
```



The following is a DFT calculation (GGA-PBE) of a relaxed structure of Pm4AlC.

Calculated values
Calculated formation energy in eV/atom: 0.170

```
data_Pm4AlC
_chemical_formula_sum 'Pm4 Al1 C1'
_space_group_name_H-M_alt 'P 4/m m m'
_space_group_IT_number 123
_space_group_name_Hall '-P 4 2'
_cell_length_a 4.774
_cell_length_b 4.774
_cell_length_c 6.882
_cell_angle_alpha 90.00
_cell_angle_beta 90.00
_cell_angle_gamma 90.00
loop_
_atom_site_label
_atom_site_type_symbol
_atom_site_fract_x
_atom_site_fract_y
_atom_site_fract_z
_atom_site_occupancy
Pm1 Pm 0.000 0.500 0.220 1
Al1 Al 0.000 0.000 0.500 1
C1 C 0.500 0.500 0.000 1
```



The following is a DFT calculation (GGA-PBE) of a relaxed structure of PmAlC2.

Calculated values
Calculated formation energy in eV/atom: 0.474

```
data_PmAlC2
_chemical_formula_sum 'Pm3 Al3 C6'
_space_group_name_H-M_alt 'R -3 m'
_space_group_IT_number 166
_space_group_name_Hall '-R 3 2"'
_cell_length_a 3.5134
_cell_length_b 3.5134
_cell_length_c 15.1651
_cell_angle_alpha 90.00
_cell_angle_beta 90.00
_cell_angle_gamma 120.00
loop_
_atom_site_label
_atom_site_type_symbol
_atom_site_fract_x
_atom_site_fract_y
_atom_site_fract_z
_atom_site_occupancy
Pm1 Pm 0.0000 0.0000 0.0000 1
Al1 Al 0.0000 0.0000 0.5000 1
C1 C 0.0000 0.0000 0.2316 1
```



The following is a DFT calculation (GGA-PBE) of a relaxed structure of Pm6Al2C.

Calculated values
Calculated formation energy in eV/atom: -0.210

```
data_Pm6Al2C
_chemical_formula_sum 'Pm12 Al4 C2'
_space_group_name_H-M_alt 'I 4/m m m'
_space_group_IT_number 139
_space_group_name_Hall '-I 4 2'
_cell_length_a 7.038
_cell_length_b 7.038
_cell_length_c 9.939
_cell_angle_alpha 90.00
_cell_angle_beta 90.00
_cell_angle_gamma 90.00
loop_
_atom_site_label
_atom_site_type_symbol
_atom_site_fract_x
_atom_site_fract_y
_atom_site_fract_z
_atom_site_occupancy
Pm1 Pm 0.000 0.000 0.246 1
Pm2 Pm 0.246 0.246 0.000 1
Al1 Al 0.000 0.500 0.250 1
C1 C 0.000 0.000 0.000 1
```



The following is a DFT calculation (GGA-PBE) of a relaxed structure of Pm3AlC.

Calculated values
Calculated formation energy in eV/atom: -0.233

```
data_Pm3AlC
_chemical_formula_sum 'Pm3 Al1 C1'
_space_group_name_H-M_alt 'P m -3 m'
_space_group_IT_number 221
_space_group_name_Hall '-P 4 2 3'
_cell_length_a 5.048
_cell_length_b 5.048
_cell_length_c 5.048
_cell_angle_alpha 90.00
_cell_angle_beta 90.00
_cell_angle_gamma 90.00
loop_
_atom_site_label
_atom_site_type_symbol
_atom_site_fract_x
_atom_site_fract_y
_atom_site_fract_z
_atom_site_occupancy
Pm1 Pm 0.000 0.000 0.500 1
Al1 Al 0.500 0.500 0.500 1
C1 C 0.000 0.000 0.000 1
```



The following is a DFT calculation (GGA-PBE) of a relaxed structure of PmAl2Re2C.

Calculated values
Calculated formation energy in eV/atom: -0.275

```
data_PmAl2Re2C
_chemical_formula_sum 'Pm1 Al2 Re2 C1'
_space_group_name_H-M_alt 'P 4/m m m'
_space_group_IT_number 123
_space_group_name_Hall '-P 4 2'
_cell_length_a 4.181
_cell_length_b 4.181
_cell_length_c 5.666
_cell_angle_alpha 90.00
_cell_angle_beta 90.00
_cell_angle_gamma 90.00
loop_
_atom_site_label
_atom_site_type_symbol
_atom_site_fract_x
_atom_site_fract_y
_atom_site_fract_z
_atom_site_occupancy
Pm1 Pm 0.000 0.000 0.000 1
Al1 Al 0.500 0.500 0.226 1
Re1 Re 0.000 0.500 0.500 1
C1 C 0.000 0.000 0.500 1
```



The following is a DFT calculation (GGA-PBE) of a relaxed structure of Pm2Al2Si2C.

Calculated values
Energy relative to the elements, uncorrected in eV/atom: -0.3893

```
data_Pm2Al2Si2C
_chemical_formula_sum 'Pm4 Al4 Si4 C2'
_space_group_name_H-M_alt 'I 4/m m m'
_space_group_IT_number 139
_space_group_name_Hall '-I 4 2'
_cell_length_a 4.186
_cell_length_b 4.186
_cell_length_c 15.151
_cell_angle_alpha 90.00
_cell_angle_beta 90.00
_cell_angle_gamma 90.00
loop_
_atom_site_label
_atom_site_type_symbol
_atom_site_fract_x
_atom_site_fract_y
_atom_site_fract_z
_atom_site_occupancy
Pm1 Pm 0.000 0.000 0.161 1
Al1 Al 0.000 0.500 0.000 1
Si1 Si 0.000 0.000 0.375 1
C1 C 0.000 0.000 0.000 1
```



The following is a DFT calculation (GGA-PBE) of a relaxed structure of Pm2SmAlC.

Calculated values
Calculated formation energy in eV/atom: -0.241

```
data_Pm2SmAlC
_chemical_formula_sum 'Pm2 Sm1 Al1 C1'
_space_group_name_H-M_alt 'P 4/m m m'
_space_group_IT_number 123
_space_group_name_Hall '-P 4 2'
_cell_length_a 5.047
_cell_length_b 5.047
_cell_length_c 5.019
_cell_angle_alpha 90.00
_cell_angle_beta 90.00
_cell_angle_gamma 90.00
loop_
_atom_site_label
_atom_site_type_symbol
_atom_site_fract_x
_atom_site_fract_y
_atom_site_fract_z
_atom_site_occupancy
Pm1 Pm 0.000 0.500 0.000 1
Sm1 Sm 0.000 0.000 0.500 1
Al1 Al 0.500 0.500 0.500 1
C1 C 0.000 0.000 0.000 1
```



The following is a DFT calculation (GGA-PBE) of a relaxed structure of PmAl2Tc2C.

Calculated values
Calculated formation energy in eV/atom: -0.377

```
data_PmAl2Tc2C
_chemical_formula_sum 'Pm1 Al2 Tc2 C1'
_space_group_name_H-M_alt 'P 4/m m m'
_space_group_IT_number 123
_space_group_name_Hall '-P 4 2'
_cell_length_a 4.189
_cell_length_b 4.189
_cell_length_c 5.603
_cell_angle_alpha 90.00
_cell_angle_beta 90.00
_cell_angle_gamma 90.00
loop_
_atom_site_label
_atom_site_type_symbol
_atom_site_fract_x
_atom_site_fract_y
_atom_site_fract_z
_atom_site_occupancy
Pm1 Pm 0.000 0.000 0.000 1
Al1 Al 0.500 0.500 0.232 1
Tc1 Tc 0.000 0.500 0.500 1
C1 C 0.000 0.000 0.500 1
```